Entry from Alexandria: an optimized crystal structure of Ta2CrCl (PBE).

**Electronic total energy**: -8.595 eV per atom
**Total magnetic moment**: 0.0000 μB/atom
**SG**: Cmmm, No. 65

a b c (Å): 2.950 2.950 8.480
angles (deg): 90.00 90.00 115.59
Atoms (fractional coordinates):
Ta (0.000, 0.000, 0.231)
Ta (0.000, 0.000, 0.769)
Cr (0.500, 0.500, 0.000)
Cl (0.500, 0.500, 0.500)